# Mn2NbFeO (PBE+U, relaxed)
# DOS(E_F): 0.750 states/eV per atom
# total DFT energy (no corrections): -6.530 eV per atom
data_Mn2NbFeO
_chemical_formula_sum 'Mn2 Nb1 Fe1 O1'
_cell_length_a 5.4384
_cell_length_b 5.4384
_cell_length_c 3.8703
_cell_angle_alpha 90.00
_cell_angle_beta 90.00
_cell_angle_gamma 90.00
_symmetry_space_group_name_H-M 'P 4/m m m'
_symmetry_Int_Tables_number 123
_symmetry_space_group_name_Hall '-P 4 2'
loop_
_atom_site_label
_atom_site_fract_x
_atom_site_fract_y
_atom_site_fract_z
_atom_site_occupancy
Mn1 0.0000 0.5000 0.0000 1
Nb1 0.0000 0.0000 0.0000 1
Fe1 0.5000 0.5000 0.5000 1
O1 0.0000 0.0000 0.5000 1